Below is an optimized crystal structure of DyEr3Mg2, with properties calculated at the GGA-PBE level.

a b c (Å): 3.5890 3.5890 13.2000
angles (deg): 90.00 90.00 90.00
Closest atoms and distances in Å follow each position.
Space group P4/mmm (No. 123)
Symmetry-distinct sites (fractional):
Dy  0.0000  0.0000  0.0000 [1 per cell]  8 Er 3.52, 4 Dy 3.59
Er  0.5000  0.5000  0.1847 [2 per cell]  4 Mg 3.30, 4 Dy 3.52, 4 Er 3.59
Er  0.5000  0.5000  0.5000 [1 per cell]  8 Mg 3.26, 4 Er 3.59
Mg  0.0000  0.0000  0.3447 [2 per cell]  8 Er 3.26-3.30, 4 Mg 3.59

## Properties
The energy of formation from the pure elements is -0.798 kcal/mol of atoms. For the magnetization, the calculation gives 0.00 μB/f.u. As for the total DFT energy (no corrections): -21.69 eV per cell.